Below is an optimized crystal structure of NpCdHg2, with properties calculated at the PBE-GGA level. Values from VASP.

Cell and atoms, written as Quantum ESPRESSO input:
```
&SYSTEM
  ibrav = 0, nat = 4, ntyp = 3
/
ATOMIC_SPECIES
Np 237.00 Np.upf
Hg 200.59 Hg.upf
Cd 112.41 Cd.upf
CELL_PARAMETERS angstrom
3.2402 0.0000 0.0000
0.0000 3.2402 0.0000
0.0000 0.0000 9.0029
ATOMIC_POSITIONS crystal
Np 0.5000 0.5000 0.5000
Hg 0.0000 0.0000 0.7607
Hg 0.0000 0.0000 0.2393
Cd 0.5000 0.5000 0.0000
```

## Properties
symmetry = P4/mmm (123)
E_form = 0.11 eV per atom
E = -14.0 eV/cell



Below is an optimized crystal structure of NpCdHg2, with properties calculated at the PBE-GGA level. Values from VASP.

Cell and atoms, written as Quantum ESPRESSO input:
```
&SYSTEM
  ibrav = 0, nat = 4, ntyp = 3
/
ATOMIC_SPECIES
Np 237.00 Np.upf
Cd 112.41 Cd.upf
Hg 200.59 Hg.upf
CELL_PARAMETERS angstrom
-1.0224 2.2654 1.8677
-2.6725 -0.3503 1.5495
4.2022 -3.8075 9.5062
ATOMIC_POSITIONS crystal
Np 0.5000 0.5000 0.4999
Cd 0.6666 0.6666 0.0001
Hg 0.0816 0.0816 0.7551
Hg 0.2517 0.2517 0.2450
```

## Properties
symmetry = R3m (160)
E_form = 0.15 eV per atom
E = -13.9 eV/cell